[1]
Entry from Alexandria via LeMat-Bulk: crystalline BeZnIn3 at its relaxed geometry (PBEsol).

## Properties
total magnetic moment	0.00	μB per formula unit
DFT formation energy	385.5	meV/atom
polymorph energy (0 for the lowest one)	0.000	eV/atom

Cell lengths 4.845, 4.845, 4.845 Å; angles 90.00, 90.00, 90.00 degrees
Positions (direct):
Be 0.000 0.000 0.000
Zn 0.500 0.500 0.500
In 0.000 0.500 0.000
In 0.000 0.000 0.500
In 0.500 0.000 0.000

[2]
Entry from Alexandria via LeMat-Bulk: crystalline TaTiPb2Br at its relaxed geometry (PBEsol).

## Properties
total magnetic moment	2.05	μB per formula unit
formation energy from raw total energies	1.09	eV/atom

Cell lengths 4.627, 5.407, 5.407 Å; angles 90.00, 90.00, 90.00 degrees
Positions (direct):
Pb 0.000 0.000 0.500
Pb 0.000 0.500 0.000
Ti 0.000 0.000 0.000
Br 0.500 0.000 0.000
Ta 0.500 0.500 0.500

[3]
Entry from Alexandria via LeMat-Bulk: crystalline CaLa2Hf at its relaxed geometry (PBEsol).

## Properties
total magnetic moment	0.00	μB per formula unit
DFT formation energy	298.3	meV/atom

Cell lengths 5.546, 5.546, 5.546 Å; angles 60.00, 60.00, 60.00 degrees
Positions (direct):
Ca 0.000 0.000 0.000
Hf 0.500 0.500 0.500
La 0.250 0.250 0.250
La 0.750 0.750 0.750

[4]
Entry from Alexandria via LeMat-Bulk: crystalline Tl2SiHgB at its relaxed geometry (PBEsol).

## Properties
total magnetic moment	0.00	μB per formula unit
formation energy from raw total energies	0.58	eV/atom

Cell lengths 3.653, 5.743, 5.743 Å; angles 90.00, 90.00, 90.00 degrees
Positions (direct):
Tl 0.000 0.000 0.500
Tl 0.000 0.500 0.000
B 0.500 0.000 0.000
Si 0.000 0.000 0.000
Hg 0.500 0.500 0.500

[5]
Entry from Alexandria via LeMat-Bulk: crystalline RuPtS2Cl at its relaxed geometry (PBEsol).

## Properties
total magnetic moment	0.00	μB per formula unit
formation energy from raw total energies	0.78	eV/atom

Cell lengths 4.454, 4.454, 4.653 Å; angles 90.00, 90.00, 90.00 degrees
Positions (direct):
Ru 0.000 0.000 0.000
S 0.000 0.500 0.000
S 0.500 0.000 0.000
Pt 0.500 0.500 0.500
Cl 0.000 0.000 0.500

[6]
Entry from Alexandria via LeMat-Bulk: crystalline CaAg2Au at its relaxed geometry (PBEsol).

## Properties
total magnetic moment	0.00	μB per formula unit
DFT formation energy	-295.5	meV/atom

Cell lengths 3.566, 3.566, 6.167 Å; angles 90.00, 90.00, 90.00 degrees
Positions (direct):
Ca 0.500 0.500 0.741
Au 0.000 0.000 0.482
Ag 0.000 0.000 0.032
Ag 0.500 0.500 0.245

[7]
Entry from Alexandria via LeMat-Bulk: crystalline MnSeO4 at its relaxed geometry (PBEsol).

## Properties
total magnetic moment	5.00	μB per formula unit
formation energy from raw total energies	-0.88	eV/atom

Cell lengths 4.998, 6.871, 9.281 Å; angles 90.00, 90.00, 90.00 degrees
Positions (direct):
Mn 0.000 0.000 0.000
Mn 0.500 0.000 0.500
Mn 0.000 0.500 0.000
Mn 0.500 0.500 0.500
Se 0.478 0.250 0.819
Se 0.978 0.750 0.681
Se 0.522 0.750 0.181
Se 0.022 0.250 0.319
O 0.828 0.548 0.624
O 0.328 0.452 0.876
O 0.172 0.048 0.376
O 0.672 0.952 0.124
O 0.172 0.452 0.376
O 0.672 0.548 0.124
O 0.828 0.952 0.624
O 0.328 0.048 0.876
O 0.797 0.250 0.880
O 0.297 0.750 0.620
O 0.203 0.750 0.120
O 0.703 0.250 0.380
O 0.448 0.250 0.636
O 0.948 0.750 0.864
O 0.552 0.750 0.364
O 0.052 0.250 0.136

[8]
Entry from Alexandria via LeMat-Bulk: crystalline CaSiPd at its relaxed geometry (PBEsol).

## Properties
total magnetic moment	0.00	μB per formula unit
formation energy from raw total energies	-0.82	eV/atom

Cell lengths 5.668, 5.820, 7.333 Å; angles 70.56, 90.00, 90.00 degrees
Positions (direct):
Ca 0.126 0.680 0.115
Ca 0.374 0.180 0.615
Ca 0.874 0.320 0.885
Ca 0.626 0.820 0.385
Si 0.619 0.829 0.957
Si 0.381 0.171 0.043
Si 0.119 0.671 0.543
Si 0.881 0.329 0.457
Pd 0.610 0.422 0.190
Pd 0.390 0.578 0.810
Pd 0.890 0.922 0.690
Pd 0.110 0.078 0.310

[9]
Entry from Alexandria via LeMat-Bulk: crystalline ZnCuRh2 at its relaxed geometry (PBEsol).

## Properties
total magnetic moment	0.00	μB per formula unit
DFT formation energy	-105.8	meV/atom

Cell lengths 2.683, 4.471, 4.621 Å; angles 100.21, 90.00, 107.46 degrees
Positions (direct):
Zn 0.500 0.000 0.000
Rh 0.751 0.501 0.748
Rh 0.249 0.499 0.252
Cu 0.000 0.000 0.500

[10]
Entry from Alexandria via LeMat-Bulk: crystalline KBa at its relaxed geometry (PBEsol).

## Properties
total magnetic moment	0.00	μB per formula unit
DFT formation energy	104.0	meV/atom

Cell lengths 4.418, 4.418, 7.577 Å; angles 90.00, 90.00, 120.00 degrees
Positions (direct):
K 0.333 0.667 0.500
Ba 0.000 0.000 0.000

[11]
Entry from Alexandria via LeMat-Bulk: crystalline Sr2V2OF10 at its relaxed geometry (PBEsol).

## Properties
total magnetic moment	2.00	μB per formula unit
formation energy from raw total energies	-3.27	eV/atom

Cell lengths 7.683, 10.660, 10.605 Å; angles 90.00, 111.24, 90.00 degrees
Positions (direct):
Sr 0.381 0.957 0.761
Sr 0.619 0.043 0.239
Sr 0.119 0.457 0.239
Sr 0.881 0.543 0.761
Sr 0.468 0.750 0.435
Sr 0.532 0.250 0.565
Sr 0.032 0.250 0.565
Sr 0.968 0.750 0.435
V 0.328 0.568 0.657
V 0.672 0.432 0.343
V 0.172 0.068 0.343
V 0.828 0.932 0.657
V 0.281 0.750 0.061
V 0.719 0.250 0.939
V 0.219 0.250 0.939
V 0.781 0.750 0.061
O 0.407 0.553 0.815
O 0.593 0.447 0.185
O 0.093 0.053 0.185
O 0.907 0.947 0.815
F 0.217 0.607 0.433
F 0.783 0.393 0.567
F 0.283 0.107 0.567
F 0.717 0.893 0.433
F 0.200 0.897 0.399
F 0.800 0.103 0.601
F 0.300 0.397 0.601
F 0.700 0.603 0.399
F 0.033 0.791 0.067
F 0.967 0.209 0.933
F 0.467 0.291 0.933
F 0.533 0.709 0.067
F 0.320 0.747 0.640
F 0.680 0.253 0.360
F 0.180 0.247 0.360
F 0.820 0.753 0.640
F 0.776 0.630 0.937
F 0.224 0.370 0.063
F 0.724 0.130 0.063
F 0.661 0.870 0.937
F 0.276 0.870 0.937
F 0.339 0.130 0.063
F 0.839 0.370 0.063
F 0.161 0.630 0.937
F 0.307 0.637 0.206
F 0.693 0.363 0.794
F 0.193 0.137 0.794
F 0.399 0.863 0.206
F 0.807 0.863 0.206
F 0.601 0.137 0.794
F 0.101 0.363 0.794
F 0.899 0.637 0.206
F 0.549 0.579 0.619
F 0.451 0.421 0.381
F 0.951 0.079 0.381
F 0.570 0.921 0.619
F 0.049 0.921 0.619
F 0.430 0.079 0.381
F 0.930 0.421 0.381
F 0.070 0.579 0.619

[12]
Entry from Alexandria via LeMat-Bulk: crystalline CsSrTl2 at its relaxed geometry (PBEsol).

## Properties
total magnetic moment	0.00	μB per formula unit
DFT formation energy	-98.1	meV/atom

Cell lengths 5.954, 5.954, 5.954 Å; angles 60.00, 60.00, 60.00 degrees
Positions (direct):
Cs 0.500 0.500 0.500
Sr 0.000 0.000 0.000
Tl 0.250 0.250 0.250
Tl 0.750 0.750 0.750

[13]
Entry from Alexandria via LeMat-Bulk: crystalline AlHg2P at its relaxed geometry (PBEsol).

## Properties
total magnetic moment	0.00	μB per formula unit
DFT formation energy	-1.8	meV/atom
polymorph energy (0 for the lowest one)	0.000	eV/atom

Cell lengths 3.377, 3.377, 7.664 Å; angles 90.00, 90.00, 90.00 degrees
Positions (direct):
P 0.000 0.000 0.660
Hg 0.000 0.000 0.995
Hg 0.500 0.500 0.251
Al 0.500 0.500 0.593

[14]
Entry from Alexandria via LeMat-Bulk: crystalline MnZnW3 at its relaxed geometry (PBEsol).

## Properties
total magnetic moment	3.20	μB per formula unit
DFT formation energy	2137.3	meV/atom

Cell lengths 4.484, 4.484, 4.484 Å; angles 90.00, 90.00, 90.00 degrees
Positions (direct):
Zn 0.000 0.000 0.000
Mn 0.500 0.500 0.500
W 0.000 0.500 0.000
W 0.000 0.000 0.500
W 0.500 0.000 0.000

[15]
Entry from Alexandria via LeMat-Bulk: crystalline ZrCuCl3 at its relaxed geometry (PBEsol).

## Properties
total magnetic moment	2.18	μB per formula unit
formation energy from raw total energies	-0.20	eV/atom

Cell lengths 4.621, 4.621, 4.621 Å; angles 90.00, 90.00, 90.00 degrees
Positions (direct):
Cu 0.000 0.000 0.000
Zr 0.500 0.500 0.500
Cl 0.000 0.500 0.000
Cl 0.000 0.000 0.500
Cl 0.500 0.000 0.000

[16]
Entry from Alexandria via LeMat-Bulk: crystalline NiP2 at its relaxed geometry (PBEsol).

## Properties
total magnetic moment	0.00	μB per formula unit
DFT formation energy	-158.3	meV/atom

Cell lengths 3.867, 3.867, 3.867 Å; angles 60.00, 60.00, 60.00 degrees
Positions (direct):
Ni 0.000 0.000 0.000
P 0.750 0.750 0.750
P 0.250 0.250 0.250

[17]
Entry from Alexandria via LeMat-Bulk: crystalline SiSbTe2 at its relaxed geometry (PBEsol).

## Properties
total magnetic moment	0.00	μB per formula unit
formation energy from raw total energies	0.18	eV/atom
polymorph energy (0 for the lowest one)	0.000	eV/atom

Cell lengths 3.797, 3.797, 9.403 Å; angles 78.35, 78.35, 60.00 degrees
Positions (direct):
Sb 0.000 0.000 0.000
Si 0.500 0.500 0.500
Te 0.892 0.892 0.325
Te 0.108 0.108 0.675

[18]
Entry from Alexandria via LeMat-Bulk: crystalline RePt5 at its relaxed geometry (PBEsol).

## Properties
total magnetic moment	0.00	μB per formula unit
DFT formation energy	-80.9	meV/atom
polymorph energy (0 for the lowest one)	0.000	eV/atom

Cell lengths 2.737, 2.737, 11.894 Å; angles 90.00, 90.00, 90.00 degrees
Positions (direct):
Re 0.500 0.500 0.000
Pt 0.000 0.000 0.841
Pt 0.000 0.000 0.159
Pt 0.500 0.500 0.668
Pt 0.500 0.500 0.332
Pt 0.000 0.000 0.500

[19]
Entry from Alexandria via LeMat-Bulk: crystalline LiAs2Rh2 at its relaxed geometry (PBEsol).

## Properties
total magnetic moment	0.00	μB per formula unit
DFT formation energy	-518.9	meV/atom

Cell lengths 4.024, 4.024, 5.924 Å; angles 109.86, 109.86, 90.00 degrees
Positions (direct):
As 0.379 0.379 0.758
As 0.621 0.621 0.242
Rh 0.250 0.750 0.500
Rh 0.750 0.250 0.500
Li 0.000 0.000 0.000

[20]
Entry from Alexandria via LeMat-Bulk: crystalline K2OsAu at its relaxed geometry (PBEsol).

## Properties
total magnetic moment	0.00	μB per formula unit
DFT formation energy	978.2	meV/atom
polymorph energy (0 for the lowest one)	0.085	eV/atom

Cell lengths 2.869, 2.869, 11.440 Å; angles 90.00, 90.00, 90.00 degrees
Positions (direct):
Au 0.500 0.500 0.709
K 0.000 0.000 0.939
K 0.500 0.500 0.312
Os 0.000 0.000 0.540

[21]
Entry from Alexandria via LeMat-Bulk: crystalline Pt3O4 at its relaxed geometry (PBEsol).

## Properties
total magnetic moment	0.00	μB per formula unit
formation energy from raw total energies	0.61	eV/atom
polymorph energy (0 for the lowest one)	1.086	eV/atom

Cell lengths 4.667, 4.667, 4.667 Å; angles 109.47, 109.47, 109.47 degrees
Positions (direct):
Pt 0.500 0.000 0.500
Pt 0.500 0.500 0.000
Pt 0.000 0.500 0.500
O 0.000 0.000 0.500
O 0.000 0.500 0.000
O 0.500 0.000 0.000
O 0.500 0.500 0.500

[22]
Entry from Alexandria via LeMat-Bulk: crystalline KCr2ReF at its relaxed geometry (PBEsol).

## Properties
total magnetic moment	5.84	μB per formula unit
formation energy from raw total energies	0.81	eV/atom

Cell lengths 4.752, 4.649, 4.649 Å; angles 90.00, 90.00, 90.00 degrees
Positions (direct):
Re 0.000 0.000 0.000
K 0.500 0.500 0.500
F 0.500 0.000 0.000
Cr 0.000 0.000 0.500
Cr 0.000 0.500 0.000

[23]
Entry from Alexandria via LeMat-Bulk: crystalline ZrIrPd3 at its relaxed geometry (PBEsol).

## Properties
total magnetic moment	0.00	μB per formula unit
DFT formation energy	1022.0	meV/atom

Cell lengths 4.705, 4.705, 4.705 Å; angles 90.00, 90.00, 90.00 degrees
Positions (direct):
Ir 0.000 0.000 0.000
Zr 0.500 0.500 0.500
Pd 0.000 0.500 0.000
Pd 0.000 0.000 0.500
Pd 0.500 0.000 0.000

[24]
Entry from Alexandria via LeMat-Bulk: crystalline CdAg2Cl at its relaxed geometry (PBEsol).

## Properties
total magnetic moment	0.00	μB per formula unit
formation energy from raw total energies	0.14	eV/atom
polymorph energy (0 for the lowest one)	0.293	eV/atom

Cell lengths 4.791, 4.791, 4.791 Å; angles 60.00, 60.00, 60.00 degrees
Positions (direct):
Cl 0.500 0.500 0.500
Ag 0.250 0.250 0.250
Ag 0.750 0.750 0.750
Cd 0.000 0.000 0.000

[25]
Entry from Alexandria via LeMat-Bulk: crystalline ZrSiAg2 at its relaxed geometry (PBEsol).

## Properties
total magnetic moment	0.00	μB per formula unit
formation energy from raw total energies	-0.07	eV/atom

Cell lengths 2.872, 5.201, 5.169 Å; angles 109.61, 90.00, 106.03 degrees
Positions (direct):
Ag 0.017 0.034 0.043
Ag 0.781 0.561 0.209
Si 0.478 0.955 0.571
Zr 0.225 0.449 0.678